[1]
Here is an optimized crystal structure of Rb2Pa2NiSe6 from Alexandria. Energies are from PBE.

Properties
- Formation energy from raw total energies: -1.115 eV/atom
- DFT total energy: -5.443 eV per atom
- Magnetic moment: 0.12 μB per formula unit
- DOS(E_F): 0.863 states/eV/atom

a = 6.799 Å, b = 12.792 Å, c = 8.570 Å
α = 90.00°, β = 105.62°, γ = 90.00°
Space group C2/m (No. 12)
Unique sites:
1 Rb 0.000 0.155 0.000 (multiplicity 4)
2 Pa 0.000 0.338 0.500 (multiplicity 4)
3 Ni 0.000 0.000 0.500 (multiplicity 2)
4 Se 0.234 0.178 0.694 (multiplicity 8)
5 Se 0.241 0.000 0.330 (multiplicity 4)



[2]
Here is an optimized crystal structure of Rb4Pa3NiSe8 from Alexandria. Energies are from PBE.

Properties
- Formation energy from raw total energies: -1.127 eV/atom
- DFT total energy: -5.253 eV per atom
- Magnetic moment: 3.02 μB per formula unit
- DOS(E_F): 1.367 states/eV/atom

a = 14.663 Å, b = 8.228 Å, c = 9.439 Å
α = 90.00°, β = 121.28°, γ = 90.00°
Space group C2/m (No. 12)
Unique sites:
1 Rb 0.000 0.000 0.000 (multiplicity 2)
2 Rb 0.000 0.500 0.000 (multiplicity 2)
3 Rb 0.250 0.250 0.000 (multiplicity 4)
4 Pa 0.000 0.000 0.500 (multiplicity 2)
5 Pa 0.250 0.250 0.500 (multiplicity 4)
6 Ni 0.000 0.500 0.500 (multiplicity 2)
7 Se 0.019 0.262 0.314 (multiplicity 8)
8 Se 0.232 0.000 0.702 (multiplicity 4)
9 Se 0.238 0.500 0.701 (multiplicity 4)



[3]
Here is an optimized crystal structure of RbPaNi2Se4 from Alexandria. Energies are from PBE.

Properties
- Formation energy from raw total energies: -0.588 eV/atom
- DFT total energy: -5.083 eV per atom
- Magnetic moment: 2.05 μB per formula unit
- DOS(E_F): 0.999 states/eV/atom

a = 6.244 Å, b = 8.466 Å, c = 9.168 Å
α = 90.00°, β = 90.00°, γ = 90.00°
Space group I222 (No. 23)
Unique sites:
1 Rb 0.000 0.000 0.000 (multiplicity 2)
2 Pa 0.000 0.000 0.500 (multiplicity 2)
3 Ni 0.000 0.500 0.123 (multiplicity 4)
4 Se 0.241 0.181 0.320 (multiplicity 8)



[4]
Here is an optimized crystal structure of RbPaNiSe3 from Alexandria. Energies are from PBE.

Properties
- Formation energy from raw total energies: -1.216 eV/atom
- DFT total energy: -5.666 eV per atom
- Magnetic moment: 0.04 μB per formula unit
- DOS(E_F): 0.043 states/eV/atom

a = 4.049 Å, b = 15.640 Å, c = 10.419 Å
α = 90.00°, β = 90.00°, γ = 90.00°
Space group Cmcm (No. 63)
Unique sites:
1 Rb 0.000 0.243 0.250 (multiplicity 4)
2 Pa 0.000 0.500 0.000 (multiplicity 4)
3 Ni 0.000 0.024 0.750 (multiplicity 4)
4 Se 0.000 0.118 0.568 (multiplicity 8)
5 Se 0.000 0.436 0.750 (multiplicity 4)



Number 1: ρ 5.39 g cm⁻³. Number 2: ρ 5.89 g cm⁻³. Number 3: ρ 5.14 g cm⁻³. Number 4: ρ 6.16 g cm⁻³.